Record 1
Material: Pr3Mg2HgIr2Au
Method: DFT, PBE
State: optimized geometry

a b c (Å): 4.101 7.624 7.624
angles (deg): 118.97 90.00 90.00
Fractional positions:
Au (0.000, 0.023, 0.023)
Hg (0.500, 0.747, 0.747)
Ir (0.500, 0.659, 0.313)
Ir (0.500, 0.313, 0.659)
Mg (0.500, 0.254, 0.000)
Mg (0.500, 0.000, 0.254)
Pr (0.000, 0.425, 0.425)
Pr (0.000, 0.994, 0.584)
Pr (0.000, 0.584, 0.994)

Its space group is Amm2 (38). The electronic total energy comes out at -4.904 eV/atom.

Record 2
Material: Tm2Fe2SiGeC
Method: DFT, PBE
State: optimized geometry

a b c (Å): 5.614 5.614 6.680
angles (deg): 125.98 125.98 40.76
Fractional positions:
C (0.002, 0.002, 0.002)
Fe (0.203, 0.203, 0.101)
Fe (0.803, 0.803, 0.912)
Ge (0.157, 0.157, 0.702)
Si (0.836, 0.836, 0.286)
Tm (0.557, 0.557, 0.288)
Tm (0.442, 0.442, 0.709)

Its space group is Cm (8). The electronic total energy comes out at -7.060 eV/atom.

Record 3
Material: TaCdNO
Method: DFT, PBE
State: optimized geometry

a b c (Å): 3.376 3.376 8.740
angles (deg): 90.00 90.00 90.00
Fractional positions:
Cd (0.000, 0.000, 0.500)
Cd (0.500, 0.500, 0.500)
N (0.500, 0.000, 0.231)
N (0.000, 0.500, 0.769)
O (0.000, 0.000, 0.000)
O (0.500, 0.500, 0.000)
Ta (0.000, 0.500, 0.152)
Ta (0.500, 0.000, 0.848)

The calculation puts the relative energy among the computed polymorphs at 843 meV/atom. Its space group is P4/nmm (129). The electronic total energy comes out at -6.762 eV/atom.

Record 4
Material: Dy2Bi
Method: DFT, PBE
State: optimized geometry

a b c (Å): 6.326 6.326 6.326
angles (deg): 60.00 60.00 60.00
Fractional positions:
Bi (0.000, 0.000, 0.000)
Bi (0.250, 0.250, 0.250)
Dy (0.625, 0.625, 0.125)
Dy (0.625, 0.125, 0.625)
Dy (0.125, 0.625, 0.625)
Dy (0.625, 0.625, 0.625)

Its space group is Fd-3m (227). The electronic total energy comes out at -4.476 eV/atom.

Record 5
Material: Cu7Ag3
Method: DFT, PBE
State: optimized geometry

a b c (Å): 9.338 9.338 5.484
angles (deg): 98.48 98.48 16.88
Fractional positions:
Ag (0.596, 0.596, 0.297)
Ag (0.600, 0.600, 0.801)
Ag (0.804, 0.804, 0.902)
Cu (0.206, 0.206, 0.118)
Cu (0.402, 0.402, 0.215)
Cu (0.804, 0.804, 0.402)
Cu (0.993, 0.993, 0.498)
Cu (0.205, 0.205, 0.588)
Cu (0.402, 0.402, 0.687)
Cu (0.989, 0.989, 0.993)

The calculation puts the relative energy among the computed polymorphs at 36 meV/atom. Its space group is Cm (8). The electronic total energy comes out at -3.368 eV/atom. The value obtained for the energy relative to the elements is 0.08 eV/atom.

Record 6
Material: LaErSi2Mo2C
Method: DFT, PBE
State: optimized geometry

a b c (Å): 5.945 5.945 7.293
angles (deg): 123.76 123.76 38.19
Fractional positions:
C (0.004, 0.004, 0.015)
Er (0.572, 0.572, 0.292)
La (0.422, 0.422, 0.697)
Mo (0.207, 0.207, 0.083)
Mo (0.795, 0.795, 0.921)
Si (0.867, 0.867, 0.326)
Si (0.132, 0.132, 0.667)

Its space group is Cm (8). The electronic total energy comes out at -7.859 eV/atom.

Record 7
Material: InReB
Method: DFT, PBE
State: optimized geometry

a b c (Å): 3.954 3.954 3.954
angles (deg): 60.00 60.00 60.00
Fractional positions:
B (0.000, 0.000, 0.000)
In (0.250, 0.250, 0.250)
Re (0.750, 0.750, 0.750)

The calculation puts the relative energy among the computed polymorphs at 0 meV/atom. Its space group is F-43m (216). The electronic total energy comes out at -6.426 eV/atom.

Record 8
Material: Ta2Fe2BiAs
Method: DFT, PBE
State: optimized geometry

a b c (Å): 10.202 4.150 10.271
angles (deg): 90.00 109.62 90.00
Fractional positions:
As (0.748, 0.000, 0.005)
As (0.125, 0.500, 0.128)
As (0.498, 0.000, 0.251)
As (0.254, 0.000, 0.495)
Bi (0.876, 0.500, 0.370)
Bi (0.625, 0.500, 0.627)
Bi (0.003, 0.000, 0.752)
Bi (0.371, 0.500, 0.878)
Fe (0.003, 0.000, 0.014)
Fe (0.369, 0.500, 0.133)
Fe (0.738, 0.000, 0.240)
Fe (0.133, 0.500, 0.370)
Fe (0.492, 0.000, 0.490)
Fe (0.874, 0.500, 0.621)
Fe (0.254, 0.000, 0.735)
Fe (0.634, 0.500, 0.886)
Ta (0.249, 0.000, 0.017)
Ta (0.621, 0.500, 0.125)
Ta (0.007, 0.000, 0.247)
Ta (0.371, 0.500, 0.370)
Ta (0.743, 0.000, 0.492)
Ta (0.133, 0.500, 0.614)
Ta (0.501, 0.000, 0.751)
Ta (0.877, 0.500, 0.891)

Its space group is Pm (6). The electronic total energy comes out at -8.303 eV/atom.

Record 9
Material: Li2MgCdSn2Pt2
Method: DFT, PBE
State: optimized geometry

a b c (Å): 4.616 4.616 6.534
angles (deg): 90.00 90.00 90.00
Fractional positions:
Cd (0.500, 0.500, 0.000)
Li (0.000, 0.500, 0.247)
Li (0.500, 0.000, 0.753)
Mg (0.000, 0.000, 0.500)
Pt (0.500, 0.000, 0.262)
Pt (0.000, 0.500, 0.738)
Sn (0.000, 0.000, 0.000)
Sn (0.500, 0.500, 0.500)

Its space group is P-4m2 (115). The electronic total energy comes out at -3.874 eV/atom.

Record 10
Material: TaTlCoAu
Method: DFT, PBE
State: optimized geometry

a b c (Å): 4.603 4.603 4.603
angles (deg): 60.00 60.00 60.00
Each line ends with the local moment (μB).
Fractional positions:
Au (0.250, 0.250, 0.250)  -0.01
Co (0.750, 0.750, 0.750)  0.44
Ta (0.500, 0.500, 0.500)  -0.11
Tl (0.000, 0.000, 0.000)  0.00

The calculation puts the relative energy among the computed polymorphs at 0 meV/atom. Its space group is F-43m (216). The electronic total energy comes out at -5.731 eV/atom.

Record 11
Material: GdCl3
Method: DFT, PBE
State: optimized geometry

a b c (Å): 7.238 7.238 7.238
angles (deg): 54.26 54.26 54.26
Fractional positions:
Cl (0.750, 0.414, 0.086)
Cl (0.586, 0.914, 0.250)
Cl (0.086, 0.750, 0.414)
Cl (0.914, 0.250, 0.586)
Cl (0.414, 0.086, 0.750)
Cl (0.250, 0.586, 0.914)
Gd (0.000, 0.000, 0.000)
Gd (0.500, 0.500, 0.500)

Its space group is R-3c (167). The electronic total energy comes out at -4.799 eV/atom.

Record 12
Material: KErTe3Au
Method: DFT, PBE
State: optimized geometry

a b c (Å): 16.550 4.280 11.458
angles (deg): 90.00 90.00 90.00
Fractional positions:
Au (0.515, 0.250, 0.102)
Au (0.015, 0.250, 0.398)
Au (0.985, 0.750, 0.602)
Au (0.485, 0.750, 0.898)
Er (0.019, 0.750, 0.162)
Er (0.519, 0.750, 0.338)
Er (0.481, 0.250, 0.662)
Er (0.981, 0.250, 0.838)
K (0.730, 0.750, 0.046)
K (0.230, 0.750, 0.454)
K (0.770, 0.250, 0.546)
K (0.270, 0.250, 0.954)
Te (0.899, 0.250, 0.077)
Te (0.406, 0.750, 0.124)
Te (0.140, 0.250, 0.239)
Te (0.640, 0.250, 0.261)
Te (0.906, 0.750, 0.376)
Te (0.399, 0.250, 0.423)
Te (0.601, 0.750, 0.577)
Te (0.094, 0.250, 0.624)
Te (0.360, 0.750, 0.739)
Te (0.860, 0.750, 0.761)
Te (0.594, 0.250, 0.876)
Te (0.101, 0.750, 0.923)

Its space group is Pnma (62). The electronic total energy comes out at -3.956 eV/atom.

- What is the formula in the seventh record?
  InReB

- electronic total energy of number 4 (Dy2Bi)?
  -4.476 eV/atom